Entry 1:
The following is a DFT calculation (PBE) of an optimized crystal structure of PuGaTc.

Energy of formation from the pure elements, kJ per mole of atoms: -3.86
Energy above the lowest structure with this stoichiometry, meV per atom: 211
Size of the total moment, μB per formula unit: 0.00
DOS(E_F), states/eV/atom: 2.077

Cell lengths 4.5536, 4.5536, 6.0801 Å; angles 90.00, 90.00, 90.00 degrees
Last column: nearest neighbours and their distance in Å.
Element x y z (fractional)
Pu1 0.0000 0.5000 0.0000  4 Tc 2.74, 2 Ga 3.04
Pu2 0.5000 0.0000 0.5000  4 Tc 2.74, 2 Ga 3.04
Ga1 0.0000 0.5000 0.5000  4 Tc 2.74, 2 Pu 3.04
Ga2 0.5000 0.0000 0.0000  4 Tc 2.74, 2 Pu 3.04
Tc1 0.0000 0.0000 0.2500  4 Pu 2.74, 4 Ga 2.74, 2 Tc 3.04
Tc2 0.0000 0.0000 0.7500  4 Pu 2.74, 4 Ga 2.74, 2 Tc 3.04

***

Entry 2:
The following is a DFT calculation (PBE) of an optimized crystal structure of TbGdZn.

Energy of formation from the pure elements, kJ per mole of atoms: -5.13
Energy above the lowest structure with this stoichiometry, meV per atom: 165
Size of the total moment, μB per formula unit: 7.31
DOS(E_F), states/eV/atom: 1.145

Cell lengths 5.0066, 5.0066, 3.6651 Å; angles 90.00, 90.00, 120.00 degrees
Last column: nearest neighbours and their distance in Å.
Element x y z (fractional)
Tb1 0.0000 0.0000 0.0000  3 Zn 3.04, 3 Gd 3.34
Gd1 0.3333 0.6667 0.4545  3 Zn 3.08, 3 Tb 3.34
Zn1 0.6667 0.3333 0.7452  3 Tb 3.04, 3 Gd 3.08

***

Entry 3:
The following is a DFT calculation (PBE) of an optimized crystal structure of Zr2CuRe2.

Energy of formation from the pure elements, kJ per mole of atoms: 10.32
Size of the total moment, μB per formula unit: 0.00
DOS(E_F), states/eV/atom: 0.595

Cell lengths 6.6389, 6.6389, 4.1914 Å; angles 90.00, 90.00, 90.00 degrees
Last column: nearest neighbours and their distance in Å.
Element x y z (fractional)
Zr1 0.1773 0.3227 0.0000  6 Re 2.78-2.94
Zr2 0.3227 0.8227 0.0000  6 Re 2.78-2.94
Zr3 0.6773 0.1773 0.0000  6 Re 2.78-2.94
Zr4 0.8227 0.6773 0.0000  6 Re 2.78-2.94
Cu1 0.0000 0.0000 0.5000  4 Re 2.61
Cu2 0.5000 0.5000 0.5000  4 Re 2.61
Re1 0.1284 0.6284 0.5000  1 Re 2.41, 2 Cu 2.61
Re2 0.3716 0.1284 0.5000  1 Re 2.41, 2 Cu 2.61
Re3 0.6284 0.8716 0.5000  1 Re 2.41, 2 Cu 2.61
Re4 0.8716 0.3716 0.5000  1 Re 2.41, 2 Cu 2.61

***

Entry 4:
The following is a DFT calculation (PBE) of an optimized crystal structure of MgInP2Cl.

Formation energy from raw total energies, eV/atom: 0.236
Energy above the lowest structure with this stoichiometry, meV per atom: 0
Size of the total moment, μB per formula unit: 1.18
DOS(E_F), states/eV/atom: 0.636

Cell lengths 4.9702, 4.9702, 4.9742 Å; angles 90.00, 90.00, 90.00 degrees
Last column: nearest neighbours and their distance in Å.
Element x y z (fractional)
Mg1 0.0000 0.0000 0.0000  4 P 2.49, 2 Cl 2.49
In1 0.5000 0.5000 0.5000  4 Cl 3.51, 8 P 3.52
P1 0.0000 0.5000 0.0000  2 Mg 2.49
P2 0.5000 0.0000 0.0000  2 Mg 2.49
Cl1 0.0000 0.0000 0.5000  2 Mg 2.49

***

Entry 5:
The following is a DFT calculation (PBE) of an optimized crystal structure of ZnInCl3.

Formation energy from raw total energies, eV/atom: -0.920
Energy above the lowest structure with this stoichiometry, meV per atom: 106
Size of the total moment, μB per formula unit: 0.00
DOS(E_F), states/eV/atom: 0.000

Cell lengths 6.9940, 9.9774, 6.9714 Å; angles 90.00, 90.00, 90.00 degrees
Last column: nearest neighbours and their distance in Å.
Element x y z (fractional)
Zn1 0.0000 0.0000 0.0000  6 Cl 2.48-2.51
Zn2 0.0000 0.5000 0.0000  6 Cl 2.48-2.51
Zn3 0.5000 0.0000 0.5000  6 Cl 2.48-2.51
Zn4 0.5000 0.5000 0.5000  6 Cl 2.48-2.51
In1 0.0301 0.2500 0.4969  8 Cl 3.26-3.47
In2 0.4699 0.7500 0.9969  8 Cl 3.26-3.47
In3 0.5301 0.2500 0.0031  8 Cl 3.26-3.47
In4 0.9699 0.7500 0.5031  8 Cl 3.26-3.47
Cl1 0.9995 0.2500 0.9632  2 Zn 2.51
Cl2 0.0005 0.7500 0.0368  2 Zn 2.51
Cl3 0.2202 0.5182 0.7232  2 Zn 2.48-2.51
Cl4 0.2202 0.9818 0.7232  2 Zn 2.48-2.51
Cl5 0.2798 0.0182 0.2232  2 Zn 2.48-2.51
Cl6 0.2798 0.4818 0.2232  2 Zn 2.48-2.51
Cl7 0.4995 0.2500 0.5368  2 Zn 2.51
Cl8 0.5005 0.7500 0.4632  2 Zn 2.51
Cl9 0.7202 0.5182 0.7768  2 Zn 2.48-2.51
Cl10 0.7202 0.9818 0.7768  2 Zn 2.48-2.51
Cl11 0.7798 0.0182 0.2768  2 Zn 2.48-2.51
Cl12 0.7798 0.4818 0.2768  2 Zn 2.48-2.51

***

Entry 6:
The following is a DFT calculation (PBE) of an optimized crystal structure of CdSi2Br.

Formation energy from raw total energies, eV/atom: 0.757
Energy above the lowest structure with this stoichiometry, meV per atom: 735
Size of the total moment, μB per formula unit: 0.00
DOS(E_F), states/eV/atom: 0.719

Cell lengths 7.8507, 7.8507, 7.8507 Å; angles 135.53, 135.53, 64.71 degrees
Last column: nearest neighbours and their distance in Å.
Element x y z (fractional)
Cd1 0.0000 0.0000 0.0000  4 Si 2.58
Cd2 0.7500 0.2500 0.5000  4 Si 2.58
Si1 0.0958 0.6250 0.9708  2 Cd 2.58, 2 Br 2.78
Si2 0.3750 0.3458 0.4708  2 Cd 2.58, 2 Br 2.78
Si3 0.6542 0.1250 0.0292  2 Cd 2.58, 2 Br 2.78
Si4 0.8750 0.9042 0.5292  2 Cd 2.58, 2 Br 2.78
Br1 0.2500 0.7500 0.5000  4 Si 2.78
Br2 0.5000 0.5000 0.0000  4 Si 2.78

***

Entry 7:
The following is a DFT calculation (PBE) of an optimized crystal structure of CsTeI3.

Formation energy from raw total energies, eV/atom: -0.669
Energy above the lowest structure with this stoichiometry, meV per atom: 17
Size of the total moment, μB per formula unit: 0.00

Cell lengths 6.5556, 8.4398, 11.0247 Å; angles 81.27, 86.79, 71.61 degrees
Last column: nearest neighbours and their distance in Å.
Element x y z (fractional)
Cs1 0.2473 0.2944 0.3198  7 I 3.95-4.14, 1 Te 4.06
Cs2 0.7527 0.7056 0.6802  7 I 3.95-4.14, 1 Te 4.06
Te1 0.3619 0.1170 0.8178  4 I 2.92-3.09
Te2 0.6381 0.8830 0.1822  4 I 2.92-3.09
I1 0.1490 0.0066 0.6359  1 Te 2.92
I2 0.3565 0.4233 0.6522  1 Te 2.92
I3 0.3936 0.7851 0.9885  2 Te 3.08-3.09
I4 0.6064 0.2149 0.0115  2 Te 3.08-3.09
I5 0.6435 0.5767 0.3478  1 Te 2.92
I6 0.8510 0.9934 0.3641  1 Te 2.92

***

Entry 8:
The following is a DFT calculation (PBE) of an optimized crystal structure of CeFe3Si3.

Formation energy from raw total energies, eV/atom: 0.023
Energy above the lowest structure with this stoichiometry, meV per atom: 308
Size of the total moment, μB per formula unit: 5.62
DOS(E_F), states/eV/atom: 1.962

Cell lengths 6.2914, 6.2914, 6.2914 Å; angles 90.00, 90.00, 90.00 degrees
Last column: nearest neighbours and their distance in Å.
Element x y z (fractional)
Ce1 0.0000 0.0000 0.0000  12 Fe 3.52, 12 Si 3.52
Ce2 0.5000 0.5000 0.5000  12 Fe 3.52, 12 Si 3.52
Fe1 0.0000 0.2500 0.5000  4 Si 2.22
Fe2 0.0000 0.7500 0.5000  4 Si 2.22
Fe3 0.2500 0.5000 0.0000  4 Si 2.22
Fe4 0.5000 0.0000 0.2500  4 Si 2.22
Fe5 0.5000 0.0000 0.7500  4 Si 2.22
Fe6 0.7500 0.5000 0.0000  4 Si 2.22
Si1 0.0000 0.5000 0.2500  4 Fe 2.22
Si2 0.0000 0.5000 0.7500  4 Fe 2.22
Si3 0.2500 0.0000 0.5000  4 Fe 2.22
Si4 0.5000 0.2500 0.0000  4 Fe 2.22
Si5 0.5000 0.7500 0.0000  4 Fe 2.22
Si6 0.7500 0.0000 0.5000  4 Fe 2.22

***

Entry 9:
The following is a DFT calculation (PBE) of an optimized crystal structure of AsIr2W.

Energy of formation from the pure elements, kJ per mole of atoms: 29.36
Size of the total moment, μB per formula unit: 0.00
DOS(E_F), states/eV/atom: 1.116

Cell lengths 4.7483, 4.7483, 2.8008 Å; angles 90.00, 90.00, 90.00 degrees
Last column: nearest neighbours and their distance in Å.
Element x y z (fractional)
As1 0.0000 0.0000 0.0000  8 Ir 2.76, 2 As 2.80
Ir1 0.0000 0.5000 0.5000  4 As 2.76, 4 W 2.76, 2 Ir 2.80
Ir2 0.5000 0.0000 0.5000  4 As 2.76, 4 W 2.76, 2 Ir 2.80
W1 0.5000 0.5000 0.0000  8 Ir 2.76, 2 W 2.80

***

Entry 10:
The following is a DFT calculation (PBE) of an optimized crystal structure of Si2Tc2W.

Formation energy from raw total energies, eV/atom: -0.218
Size of the total moment, μB per formula unit: 0.00
DOS(E_F), states/eV/atom: 0.904

Cell lengths 6.8697, 6.8697, 2.9526 Å; angles 90.00, 90.00, 90.00 degrees
Last column: nearest neighbours and their distance in Å.
Element x y z (fractional)
Si1 0.1402 0.3598 0.0000  6 Tc 2.48-2.51, 2 W 2.65, 1 Si 2.72
Si2 0.3598 0.8598 0.0000  6 Tc 2.48-2.51, 2 W 2.65, 1 Si 2.72
Si3 0.6402 0.1402 0.0000  6 Tc 2.48-2.51, 2 W 2.65, 1 Si 2.72
Si4 0.8598 0.6402 0.0000  6 Tc 2.48-2.51, 2 W 2.65, 1 Si 2.72
Tc1 0.1551 0.6551 0.5000  6 Si 2.48-2.51
Tc2 0.3449 0.1551 0.5000  6 Si 2.48-2.51
Tc3 0.6551 0.8449 0.5000  6 Si 2.48-2.51
Tc4 0.8449 0.3449 0.5000  6 Si 2.48-2.51
W1 0.0000 0.0000 0.0000  4 Si 2.65, 2 W 2.95
W2 0.5000 0.5000 0.0000  4 Si 2.65, 2 W 2.95

***

The highest size of the total moment belongs to which entry? TbGdZn

***

What is the size of the total moment in the eighth record? 5.62 μB per formula unit